Entry from the Alexandria database: a relaxed AsAu2Cl8 crystal (PBE-GGA).

a b c (Å): 13.805 8.058 6.447
angles (deg): 90.00 94.90 90.00
Space group C2/m (No. 12)
Asymmetric unit:
As 0.000 0.000 0.000
Au 0.208 0.000 0.689
Cl 0.093 0.203 0.840
Cl 0.110 0.000 0.286
Cl 0.147 0.500 0.452

Values from the calculation:
- Raw total energy: -2.578 eV/atom
- D(E_F): 0.56 states/eV per atom
- Formation energy without anion corrections: -230 kJ/mol of formula units
- Mass density: 3.50 Mg/m³